Record 1
CsK3O | PBE | relaxed

Geometry as CIF:
```
data_CsK3O
_space_group_name_H-M_alt 'P m -3 m'
_space_group_IT_number 221
_space_group_name_Hall '-P 4 2 3'
_cell_length_a 8.2440
_cell_length_b 8.2440
_cell_length_c 8.2440
_cell_angle_alpha 90.00
_cell_angle_beta 90.00
_cell_angle_gamma 90.00
loop_
_atom_site_label
_atom_site_type_symbol
_atom_site_fract_x
_atom_site_fract_y
_atom_site_fract_z
Cs1 Cs 0.0000 0.0000 0.0000
K1 K 0.0000 0.0000 0.5000
O1 O 0.5000 0.5000 0.5000
```

E above lowest polymorph: 1298.1 meV/atom



Record 2
CsK12O3 | PBE | relaxed

Geometry as CIF:
```
data_CsK12O3
_space_group_name_H-M_alt 'R 3 c'
_space_group_IT_number 161
_space_group_name_Hall 'R 3 -2"c'
_cell_length_a 11.4799
_cell_length_b 11.4799
_cell_length_c 44.2557
_cell_angle_alpha 90.00
_cell_angle_beta 90.00
_cell_angle_gamma 120.00
loop_
_atom_site_label
_atom_site_type_symbol
_atom_site_fract_x
_atom_site_fract_y
_atom_site_fract_z
Cs1 Cs 0.0000 0.0000 0.0000
K1 K 0.0243 0.2852 0.4110
K2 K 0.0676 0.2557 0.6720
K3 K 0.1543 0.4640 0.2341
K4 K 0.1904 0.4073 0.5044
O1 O 0.0241 0.2301 0.0381
```

VASP energy: -2.3773 eV per atom



Record 3
Cs2K2O | PBE | relaxed

Geometry as CIF:
```
data_Cs2K2O
_space_group_name_H-M_alt 'P b a m'
_space_group_IT_number 55
_cell_length_a 7.9620
_cell_length_b 16.0951
_cell_length_c 4.3321
_cell_angle_alpha 90.00
_cell_angle_beta 90.00
_cell_angle_gamma 90.00
loop_
_space_group_symop_operation_xyz
'x,y,z'
'-x,-y,-z'
'-x,-y,z'
'x,y,-z'
'x+1/2,-y+1/2,-z'
'-x+1/2,y+1/2,z'
'-x+1/2,y+1/2,-z'
'x+1/2,-y+1/2,z'
loop_
_atom_site_label
_atom_site_type_symbol
_atom_site_fract_x
_atom_site_fract_y
_atom_site_fract_z
Cs1 Cs 0.2364 0.1311 0.0000
K1 K 0.1673 0.9285 0.5000
O1 O 0.0000 0.0000 0.0000
```

E above lowest polymorph: 0.0 meV/atom



Record 4
Cs5KO3 | PBE | relaxed

Geometry as CIF:
```
data_Cs5KO3
_space_group_name_H-M_alt 'P 1 2/m 1'
_space_group_IT_number 10
_cell_length_a 6.9175
_cell_length_b 4.2919
_cell_length_c 20.9199
_cell_angle_alpha 90.00
_cell_angle_beta 92.32
_cell_angle_gamma 90.00
loop_
_space_group_symop_operation_xyz
'x,y,z'
'-x,-y,-z'
'-x,y,-z'
'x,-y,z'
loop_
_atom_site_label
_atom_site_type_symbol
_atom_site_fract_x
_atom_site_fract_y
_atom_site_fract_z
Cs1 Cs 0.0908 0.0000 0.4178
Cs2 Cs 0.2078 0.0000 0.7717
Cs3 Cs 0.2330 0.0000 0.1255
Cs4 Cs 0.2669 0.5000 0.9517
Cs5 Cs 0.4008 0.5000 0.5904
K1 K 0.3004 0.5000 0.2745
O1 O 0.0000 0.5000 0.5000
O2 O 0.0232 0.5000 0.1773
O3 O 0.4726 0.0000 0.3291
O4 O 0.5000 0.0000 0.0000
```

VASP energy: -3.1722 eV per atom



Record 5
Cs6K9O | PBE | relaxed

Geometry as CIF:
```
data_Cs6K9O
_space_group_name_H-M_alt 'I 4/m'
_space_group_IT_number 87
_space_group_name_Hall '-I 4'
_cell_length_a 10.7464
_cell_length_b 10.7464
_cell_length_c 20.9807
_cell_angle_alpha 90.00
_cell_angle_beta 90.00
_cell_angle_gamma 90.00
loop_
_atom_site_label
_atom_site_type_symbol
_atom_site_fract_x
_atom_site_fract_y
_atom_site_fract_z
Cs1 Cs 0.0000 0.0000 0.1411
Cs2 Cs 0.0863 0.2632 0.0000
K1 K 0.0000 0.0000 0.5000
K2 K 0.0713 0.2908 0.3255
O1 O 0.0000 0.0000 0.0000
```

VASP energy: -1.4392 eV per atom



Record 6
Cs2K6O | PBE | relaxed

Geometry as CIF:
```
data_Cs2K6O
_space_group_name_H-M_alt 'P 1 21/c 1'
_space_group_IT_number 14
_cell_length_a 8.5113
_cell_length_b 8.3598
_cell_length_c 16.2476
_cell_angle_alpha 90.00
_cell_angle_beta 90.68
_cell_angle_gamma 90.00
loop_
_space_group_symop_operation_xyz
'x,y,z'
'-x,-y,-z'
'-x,y+1/2,-z+1/2'
'x,-y+1/2,z+1/2'
loop_
_atom_site_label
_atom_site_type_symbol
_atom_site_fract_x
_atom_site_fract_y
_atom_site_fract_z
Cs1 Cs 0.0193 0.1188 0.3341
K1 K 0.1647 0.7335 0.4594
K2 K 0.2734 0.1516 0.5378
K3 K 0.4842 0.5756 0.6900
O1 O 0.0000 0.0000 0.5000
```

VASP energy: -1.8147 eV per atom



Record 7
CsK5O3 | PBE | relaxed

Geometry as CIF:
```
data_CsK5O3
_space_group_name_H-M_alt 'C 1 2/m 1'
_space_group_IT_number 12
_cell_length_a 12.4390
_cell_length_b 8.7432
_cell_length_c 10.1228
_cell_angle_alpha 90.00
_cell_angle_beta 112.30
_cell_angle_gamma 90.00
loop_
_space_group_symop_operation_xyz
'x,y,z'
'-x,-y,-z'
'-x,y,-z'
'x,-y,z'
'x+1/2,y+1/2,z'
'-x+1/2,-y+1/2,-z'
'-x+1/2,y+1/2,-z'
'x+1/2,-y+1/2,z'
loop_
_atom_site_label
_atom_site_type_symbol
_atom_site_fract_x
_atom_site_fract_y
_atom_site_fract_z
Cs1 Cs 0.2352 0.0000 0.0429
K1 K 0.0000 0.3116 0.0000
K2 K 0.0545 0.5000 0.3741
K3 K 0.0964 0.0000 0.2943
K4 K 0.1744 0.1872 0.6514
O1 O 0.0000 0.0000 0.0000
O2 O 0.0000 0.0000 0.5000
O3 O 0.1544 0.5000 0.1824
O4 O 0.1745 0.5000 0.6528
```

VASP energy: -3.3324 eV per atom



Record 8
Cs2K2O | PBE | relaxed

Geometry as CIF:
```
data_Cs2K2O
_space_group_name_H-M_alt 'P 4/m b m'
_space_group_IT_number 127
_space_group_name_Hall '-P 4 2ab'
_cell_length_a 8.0193
_cell_length_b 8.0193
_cell_length_c 8.7840
_cell_angle_alpha 90.00
_cell_angle_beta 90.00
_cell_angle_gamma 90.00
loop_
_atom_site_label
_atom_site_type_symbol
_atom_site_fract_x
_atom_site_fract_y
_atom_site_fract_z
Cs1 Cs 0.1915 0.3085 0.0000
K1 K 0.1926 0.6926 0.5000
O1 O 0.0000 0.0000 0.0000
```

E above lowest polymorph: 275.1 meV/atom



Record 9
Cs4K3O | PBE | relaxed

Geometry as CIF:
```
data_Cs4K3O
_space_group_name_H-M_alt 'P m n 21'
_space_group_IT_number 31
_cell_length_a 12.3583
_cell_length_b 15.8198
_cell_length_c 6.1720
_cell_angle_alpha 90.00
_cell_angle_beta 90.00
_cell_angle_gamma 90.00
loop_
_space_group_symop_operation_xyz
'x,y,z'
'-x+1/2,-y,z+1/2'
'-x,y,z'
'x+1/2,-y,z+1/2'
loop_
_atom_site_label
_atom_site_type_symbol
_atom_site_fract_x
_atom_site_fract_y
_atom_site_fract_z
Cs1 Cs 0.0000 0.1859 0.0001
Cs2 Cs 0.0000 0.7937 0.5009
Cs3 Cs 0.1634 0.3272 0.5000
K1 K 0.0000 0.5367 0.0009
K2 K 0.1556 0.0805 0.5002
O1 O 0.0000 0.1973 0.5000
```

VASP energy: -1.8106 eV per atom



Record 10
Cs7K12O | PBE | relaxed

Geometry as CIF:
```
data_Cs7K12O
_space_group_name_H-M_alt 'R -3 m'
_space_group_IT_number 166
_space_group_name_Hall '-R 3 2"'
_cell_length_a 21.4563
_cell_length_b 21.4563
_cell_length_c 12.0536
_cell_angle_alpha 90.00
_cell_angle_beta 90.00
_cell_angle_gamma 120.00
loop_
_atom_site_label
_atom_site_type_symbol
_atom_site_fract_x
_atom_site_fract_y
_atom_site_fract_z
Cs1 Cs 0.0000 0.0000 0.0000
Cs2 Cs 0.0654 0.1307 0.3606
K1 K 0.0000 0.3809 0.0000
K2 K 0.0622 0.5311 0.6582
O1 O 0.0000 0.0000 0.5000
```

VASP energy: -1.3189 eV per atom



Record 11
Cs5KO | PBE | relaxed

Geometry as CIF:
```
data_Cs5KO
_space_group_name_H-M_alt 'C 1 2/c 1'
_space_group_IT_number 15
_cell_length_a 16.4032
_cell_length_b 10.3201
_cell_length_c 13.5775
_cell_angle_alpha 90.00
_cell_angle_beta 114.49
_cell_angle_gamma 90.00
loop_
_space_group_symop_operation_xyz
'x,y,z'
'-x,-y,-z'
'-x,y,-z+1/2'
'x,-y,z+1/2'
'x+1/2,y+1/2,z'
'-x+1/2,-y+1/2,-z'
'-x+1/2,y+1/2,-z+1/2'
'x+1/2,-y+1/2,z+1/2'
loop_
_atom_site_label
_atom_site_type_symbol
_atom_site_fract_x
_atom_site_fract_y
_atom_site_fract_z
Cs1 Cs 0.0000 0.0016 0.2500
Cs2 Cs 0.1331 0.1978 0.0654
Cs3 Cs 0.1365 0.1929 0.5689
K1 K 0.0000 0.5000 0.2500
O1 O 0.0000 0.0000 0.0000
```

VASP energy: -1.8913 eV per atom



Record 12
Cs4KO | PBE | relaxed

Geometry as CIF:
```
data_Cs4KO
_space_group_name_H-M_alt 'I 4'
_space_group_IT_number 79
_cell_length_a 10.9412
_cell_length_b 10.9412
_cell_length_c 7.5973
_cell_angle_alpha 90.00
_cell_angle_beta 90.00
_cell_angle_gamma 90.00
loop_
_space_group_symop_operation_xyz
'x,y,z'
'-y,x,z'
'-x,-y,z'
'y,-x,z'
'x+1/2,y+1/2,z+1/2'
'-y+1/2,x+1/2,z+1/2'
'-x+1/2,-y+1/2,z+1/2'
'y+1/2,-x+1/2,z+1/2'
loop_
_atom_site_label
_atom_site_type_symbol
_atom_site_fract_x
_atom_site_fract_y
_atom_site_fract_z
Cs1 Cs 0.0445 0.2498 0.0000
K1 K 0.0000 0.0000 0.5891
O1 O 0.0000 0.0000 0.9257
```

VASP energy: -2.0811 eV per atom



Record 13
CsK2O6 | PBE | relaxed

Geometry as CIF:
```
data_CsK2O6
_space_group_name_H-M_alt 'I m m m'
_space_group_IT_number 71
_space_group_name_Hall '-I 2 2'
_cell_length_a 4.1635
_cell_length_b 7.8852
_cell_length_c 10.5327
_cell_angle_alpha 90.00
_cell_angle_beta 90.00
_cell_angle_gamma 90.00
loop_
_atom_site_label
_atom_site_type_symbol
_atom_site_fract_x
_atom_site_fract_y
_atom_site_fract_z
Cs1 Cs 0.0000 0.0000 0.0000
K1 K 0.0000 0.5000 0.1829
O1 O 0.0000 0.1587 0.5000
O2 O 0.0000 0.2549 0.3848
```

E above lowest polymorph: 70.4 meV/atom



Record 14
Cs12KO3 | PBE | relaxed

Geometry as CIF:
```
data_Cs12KO3
_space_group_name_H-M_alt 'R 3 c'
_space_group_IT_number 161
_space_group_name_Hall 'R 3 -2"c'
_cell_length_a 15.4695
_cell_length_b 15.4695
_cell_length_c 44.1298
_cell_angle_alpha 90.00
_cell_angle_beta 90.00
_cell_angle_gamma 120.00
loop_
_atom_site_label
_atom_site_type_symbol
_atom_site_fract_x
_atom_site_fract_y
_atom_site_fract_z
Cs1 Cs 0.0387 0.4604 0.0000
Cs2 Cs 0.0646 0.5082 0.2682
Cs3 Cs 0.0718 0.5209 0.6227
Cs4 Cs 0.0740 0.4898 0.9044
K1 K 0.0000 0.0000 0.1694
O1 O 0.0091 0.3193 0.2825
```

VASP energy: -2.2051 eV per atom



Record 15
Cs3K3O | PBE | relaxed

Geometry as CIF:
```
data_Cs3K3O
_space_group_name_H-M_alt 'P n n m'
_space_group_IT_number 58
_cell_length_a 15.1091
_cell_length_b 15.3108
_cell_length_c 9.4226
_cell_angle_alpha 90.00
_cell_angle_beta 90.00
_cell_angle_gamma 90.00
loop_
_space_group_symop_operation_xyz
'x,y,z'
'-x,-y,-z'
'-x,-y,z'
'x,y,-z'
'x+1/2,-y+1/2,-z+1/2'
'-x+1/2,y+1/2,z+1/2'
'-x+1/2,y+1/2,-z+1/2'
'x+1/2,-y+1/2,z+1/2'
loop_
_atom_site_label
_atom_site_type_symbol
_atom_site_fract_x
_atom_site_fract_y
_atom_site_fract_z
Cs1 Cs 0.0846 0.0833 0.0000
Cs2 Cs 0.0893 0.7304 0.0000
Cs3 Cs 0.2271 0.4110 0.5000
K1 K 0.0960 0.6866 0.5000
K2 K 0.1039 0.1055 0.5000
K3 K 0.1843 0.4085 0.0000
O1 O 0.1002 0.9010 0.0000
```

VASP energy: -1.8482 eV per atom



Record 16
Cs2KO6 | PBE | relaxed

Geometry as CIF:
```
data_Cs2KO6
_space_group_name_H-M_alt 'I m m m'
_space_group_IT_number 71
_space_group_name_Hall '-I 2 2'
_cell_length_a 4.0604
_cell_length_b 7.9703
_cell_length_c 11.6860
_cell_angle_alpha 90.00
_cell_angle_beta 90.00
_cell_angle_gamma 90.00
loop_
_atom_site_label
_atom_site_type_symbol
_atom_site_fract_x
_atom_site_fract_y
_atom_site_fract_z
Cs1 Cs 0.0000 0.0000 0.1876
K1 K 0.0000 0.5000 0.0000
O1 O 0.0000 0.2181 0.3984
O2 O 0.0000 0.3164 0.5000
```

VASP energy: -4.4175 eV per atom



Record 17
CsK2OsO6 | PBE | relaxed

Geometry as CIF:
```
data_CsK2OsO6
_space_group_name_H-M_alt 'R 3'
_space_group_IT_number 146
_space_group_name_Hall 'R 3'
_cell_length_a 6.6973
_cell_length_b 6.6973
_cell_length_c 15.4464
_cell_angle_alpha 90.00
_cell_angle_beta 90.00
_cell_angle_gamma 120.00
loop_
_atom_site_label
_atom_site_type_symbol
_atom_site_fract_x
_atom_site_fract_y
_atom_site_fract_z
Cs1 Cs 0.0000 0.0000 0.0000
K1 K 0.0000 0.0000 0.2716
K2 K 0.0000 0.0000 0.7317
Os1 Os 0.0000 0.0000 0.5021
O1 O 0.0002 0.7771 0.5794
O2 O 0.1063 0.4315 0.1055
```

VASP energy: -5.6118 eV per atom



Record 18
Cs2K3OsO6 | PBE | relaxed

Geometry as CIF:
```
data_Cs2K3OsO6
_space_group_name_H-M_alt 'C 1 2/m 1'
_space_group_IT_number 12
_cell_length_a 6.8580
_cell_length_b 12.1845
_cell_length_c 6.3074
_cell_angle_alpha 90.00
_cell_angle_beta 112.08
_cell_angle_gamma 90.00
loop_
_space_group_symop_operation_xyz
'x,y,z'
'-x,-y,-z'
'-x,y,-z'
'x,-y,z'
'x+1/2,y+1/2,z'
'-x+1/2,-y+1/2,-z'
'-x+1/2,y+1/2,-z'
'x+1/2,-y+1/2,z'
loop_
_atom_site_label
_atom_site_type_symbol
_atom_site_fract_x
_atom_site_fract_y
_atom_site_fract_z
Cs1 Cs 0.0000 0.1707 0.0000
K1 K 0.0000 0.0000 0.5000
K2 K 0.0000 0.3566 0.5000
Os1 Os 0.0000 0.5000 0.0000
O1 O 0.1741 0.5000 0.8203
O2 O 0.1772 0.3880 0.1986
```

VASP energy: -5.1613 eV per atom



| no. | theoretical density (g cm⁻³) |
| --- | --- |
| 1 | 0.79 |
| 2 | 1.28 |
| 3 | 2.15 |
| 4 | 4.02 |
| 5 | 1.60 |
| 6 | 1.48 |
| 7 | 2.45 |
| 8 | 2.12 |
| 9 | 1.83 |
| 10 | 1.47 |
| 11 | 2.29 |
| 12 | 2.14 |
| 13 | 2.95 |
| 14 | 1.83 |
| 15 | 1.62 |
| 16 | 3.52 |
| 17 | 4.13 |
| 18 | 4.55 |